# PuIn4Hg7 | Alexandria | PBE-GGA | optimized geometry
data_PuIn4Hg7
_chemical_formula_sum 'Pu2 In8 Hg14'
_symmetry_space_group_name_H-M 'C 1 2/m 1'
_symmetry_Int_Tables_number 12
_cell_length_a 12.917
_cell_length_b 6.169
_cell_length_c 9.509
_cell_angle_alpha 90.00
_cell_angle_beta 119.95
_cell_angle_gamma 90.00
loop_
_symmetry_equiv_pos_as_xyz
'x,y,z'
'-x,-y,-z'
'-x,y,-z'
'x,-y,z'
'x+1/2,y+1/2,z'
'-x+1/2,-y+1/2,-z'
'-x+1/2,y+1/2,-z'
'x+1/2,-y+1/2,z'
loop_
_atom_site_label
_atom_site_fract_x
_atom_site_fract_y
_atom_site_fract_z
Pu1 0.000 0.000 0.000
In1 0.003 0.500 0.333
In2 0.247 0.000 0.670
Hg1 0.000 0.500 0.000
Hg2 0.001 0.000 0.338
Hg3 0.245 0.500 0.660
Hg4 0.248 0.500 0.995
# magnetic moment = 0.526 μB/atom
# calculated total energy = -0.083 Ha/atom
# formation enthalpy at 0 K = 20 meV/atom
# energy above the lowest structure with this stoichiometry = 47.9 meV per atom